(1)
Crystalline Cr2TeIr at its relaxed geometry, computed with PBE.

**D(E_F)**: 1.467 states/eV per atom
**DFT total energy**: -7.40 eV/atom
**Total magnetic moment**: 4.7 μB/f.u.
**Theoretical density**: 10.7 g/cm³
**Crystal system**: tetragonal
**Space-group type**: P4mm

The structure in CIF format:
```
data_Cr2TeIr
_symmetry_space_group_name_H-M 'P 1'
_symmetry_Int_Tables_number 1
_cell_length_a 3.4166
_cell_length_b 3.4166
_cell_length_c 5.6248
_cell_angle_alpha 90.00
_cell_angle_beta 90.00
_cell_angle_gamma 90.00
loop_
_symmetry_equiv_pos_as_xyz
'x,y,z'
loop_
_atom_site_label
_atom_site_type_symbol
_atom_site_fract_x
_atom_site_fract_y
_atom_site_fract_z
Te1 Te 0.5000 0.5000 0.7784
Cr1 Cr 0.5000 0.5000 0.2646
Cr2 Cr 0.0000 0.0000 0.0079
Ir1 Ir 0.0000 0.0000 0.4490
```

(2)
Crystalline RbRuRh at its relaxed geometry, computed with PBE.

**D(E_F)**: 1.751 states/eV per atom
**Total magnetic moment**: 0.0 μB/f.u.
**Formation energy from the elements**: 0.89 eV per atom
**Theoretical density**: 5.7 g/cm³
**Energy relative to the lowest polymorph listed for this composition**: 405.7 meV per atom
**Crystal system**: hexagonal
**Space-group type**: P-6m2

The structure in CIF format:
```
data_RbRuRh
_symmetry_space_group_name_H-M 'P 1'
_symmetry_Int_Tables_number 1
_cell_length_a 4.1115
_cell_length_b 4.1115
_cell_length_c 5.7993
_cell_angle_alpha 90.00
_cell_angle_beta 90.00
_cell_angle_gamma 120.00
loop_
_symmetry_equiv_pos_as_xyz
'x,y,z'
loop_
_atom_site_label
_atom_site_type_symbol
_atom_site_fract_x
_atom_site_fract_y
_atom_site_fract_z
Rh1 Rh 0.3333 0.6667 0.0000
Rb1 Rb 0.6667 0.3333 0.5000
Ru1 Ru 0.0000 0.0000 0.0000
```

(3)
Crystalline SrLi2InRh at its relaxed geometry, computed with PBE.

**D(E_F)**: 0.577 states/eV per atom
**Total magnetic moment**: 0.0 μB/f.u.
**Formation energy from the elements**: -0.18 eV per atom
**Theoretical density**: 4.3 g/cm³
**Energy relative to the lowest polymorph listed for this composition**: 65.5 meV per atom
**Crystal system**: tetragonal
**Space-group type**: P4/mmm

The structure in CIF format:
```
data_SrLi2InRh
_symmetry_space_group_name_H-M 'P 1'
_symmetry_Int_Tables_number 1
_cell_length_a 4.8881
_cell_length_b 4.8881
_cell_length_c 5.1531
_cell_angle_alpha 90.00
_cell_angle_beta 90.00
_cell_angle_gamma 90.00
loop_
_symmetry_equiv_pos_as_xyz
'x,y,z'
loop_
_atom_site_label
_atom_site_type_symbol
_atom_site_fract_x
_atom_site_fract_y
_atom_site_fract_z
Sr1 Sr 0.5000 0.5000 0.5000
Li1 Li 0.0000 0.5000 0.0000
Rh1 Rh 0.0000 0.0000 0.0000
In1 In 0.0000 0.0000 0.5000
Li2 Li 0.5000 0.0000 0.0000
```